1.
Computed, not measured: a crystal of NaBe3Cr relaxed with PBEsol at the SCAN level of DFT.

Values from the calculation:
ΔH_f (0 K): 1.767 eV per atom
M_tot: 3.38 μB/f.u.
Density of states at the Fermi level: 1.7 states/eV/cell

abc: 4.141 4.141 4.141
angles: 90.00 90.00 90.00
Sites, in units of the cell vectors:
Na (0.000, 0.000, 0.000)
Be (0.000, 0.000, 0.500)
Be (0.000, 0.500, 0.000)
Be (0.500, 0.000, 0.000)
Cr (0.500, 0.500, 0.500)

2.
Computed, not measured: a crystal of Be2NbCr2 relaxed with PBEsol at the SCAN level of DFT.

Values from the calculation:
ΔH_f (0 K): -0.066 eV per atom
M_tot: 0.00 μB/f.u.
Density of states at the Fermi level: 1.8 states/eV/cell

abc: 5.629 5.629 5.629
angles: 145.86 145.86 49.06
Sites, in units of the cell vectors:
Be (0.096, 0.096, 0.000)
Be (0.904, 0.904, 0.000)
Nb (0.500, 0.500, 0.000)
Cr (0.250, 0.750, 0.500)
Cr (0.750, 0.250, 0.500)

3.
Computed, not measured: a crystal of Be2Nb2Cr relaxed with PBEsol at the SCAN level of DFT.

Values from the calculation:
ΔH_f (0 K): -0.074 eV per atom
M_tot: 0.00 μB/f.u.
Density of states at the Fermi level: 6.7 states/eV/cell

abc: 6.199 6.199 3.285
angles: 90.00 90.00 90.00
Sites, in units of the cell vectors:
Be (0.118, 0.382, 0.000)
Be (0.382, 0.882, 0.000)
Be (0.618, 0.118, 0.000)
Be (0.882, 0.618, 0.000)
Nb (0.180, 0.680, 0.500)
Nb (0.320, 0.180, 0.500)
Nb (0.680, 0.820, 0.500)
Nb (0.820, 0.320, 0.500)
Cr (0.000, 0.000, 0.000)
Cr (0.500, 0.500, 0.000)

4.
Computed, not measured: a crystal of BeNbCrO2 relaxed with PBEsol at the SCAN level of DFT.

Values from the calculation:
Formation energy (no corrections): -1.03 eV/f.u.
M_tot: 0.00 μB/f.u.
Density of states at the Fermi level: 3.9 states/eV/cell

abc: 3.549 3.549 5.137
angles: 90.00 90.00 90.00
Sites, in units of the cell vectors:
Be (0.000, 0.000, 0.000)
Nb (0.500, 0.500, 0.000)
Cr (0.500, 0.500, 0.500)
O (0.000, 0.500, 0.500)
O (0.500, 0.000, 0.500)

5.
Computed, not measured: a crystal of BeNbCrSi2 relaxed with PBEsol at the SCAN level of DFT.

Values from the calculation:
Formation energy (no corrections): 5.10 eV/f.u.
M_tot: 4.17 μB/f.u.
Density of states at the Fermi level: 3.1 states/eV/cell

abc: 4.721 4.721 4.449
angles: 90.00 90.00 90.00
Sites, in units of the cell vectors:
Be (0.000, 0.000, 0.000)
Nb (0.000, 0.000, 0.500)
Cr (0.500, 0.500, 0.000)
Si (0.000, 0.500, 0.500)
Si (0.500, 0.000, 0.500)

6.
Computed, not measured: a crystal of BeCrNi6 relaxed with PBEsol at the SCAN level of DFT.

Values from the calculation:
ΔH_f (0 K): -0.109 eV per atom
M_tot: 0.35 μB/f.u.
Density of states at the Fermi level: 26.4 states/eV/cell

abc: 5.940 5.940 9.718
angles: 90.00 90.00 109.70
Sites, in units of the cell vectors:
Be (0.000, 0.000, 0.245)
Be (0.000, 0.000, 0.755)
Be (0.256, 0.744, 0.000)
Be (0.744, 0.256, 0.000)
Cr (0.253, 0.747, 0.500)
Cr (0.500, 0.500, 0.243)
Cr (0.500, 0.500, 0.757)
Cr (0.747, 0.253, 0.500)
Ni (0.000, 0.000, 0.000)
Ni (0.000, 0.000, 0.500)
Ni (0.123, 0.373, 0.124)
Ni (0.123, 0.373, 0.876)
Ni (0.124, 0.373, 0.374)
Ni (0.124, 0.373, 0.626)
Ni (0.250, 0.750, 0.249)
Ni (0.250, 0.750, 0.751)
Ni (0.373, 0.123, 0.124)
Ni (0.373, 0.123, 0.876)
Ni (0.373, 0.124, 0.374)
Ni (0.373, 0.124, 0.626)
Ni (0.500, 0.500, 0.000)
Ni (0.500, 0.500, 0.500)
Ni (0.627, 0.876, 0.374)
Ni (0.627, 0.876, 0.626)
Ni (0.627, 0.877, 0.124)
Ni (0.627, 0.877, 0.876)
Ni (0.750, 0.250, 0.249)
Ni (0.750, 0.250, 0.751)
Ni (0.876, 0.627, 0.374)
Ni (0.876, 0.627, 0.626)
Ni (0.877, 0.627, 0.124)
Ni (0.877, 0.627, 0.876)

Please write out number 6 again, unchanged.
Computed, not measured: a crystal of BeCrNi6 relaxed with PBEsol at the SCAN level of DFT.

Values from the calculation:
ΔH_f (0 K): -0.109 eV per atom
M_tot: 0.35 μB/f.u.
Density of states at the Fermi level: 26.4 states/eV/cell

abc: 5.940 5.940 9.718
angles: 90.00 90.00 109.70
Sites, in units of the cell vectors:
Be (0.000, 0.000, 0.245)
Be (0.000, 0.000, 0.755)
Be (0.256, 0.744, 0.000)
Be (0.744, 0.256, 0.000)
Cr (0.253, 0.747, 0.500)
Cr (0.500, 0.500, 0.243)
Cr (0.500, 0.500, 0.757)
Cr (0.747, 0.253, 0.500)
Ni (0.000, 0.000, 0.000)
Ni (0.000, 0.000, 0.500)
Ni (0.123, 0.373, 0.124)
Ni (0.123, 0.373, 0.876)
Ni (0.124, 0.373, 0.374)
Ni (0.124, 0.373, 0.626)
Ni (0.250, 0.750, 0.249)
Ni (0.250, 0.750, 0.751)
Ni (0.373, 0.123, 0.124)
Ni (0.373, 0.123, 0.876)
Ni (0.373, 0.124, 0.374)
Ni (0.373, 0.124, 0.626)
Ni (0.500, 0.500, 0.000)
Ni (0.500, 0.500, 0.500)
Ni (0.627, 0.876, 0.374)
Ni (0.627, 0.876, 0.626)
Ni (0.627, 0.877, 0.124)
Ni (0.627, 0.877, 0.876)
Ni (0.750, 0.250, 0.249)
Ni (0.750, 0.250, 0.751)
Ni (0.876, 0.627, 0.374)
Ni (0.876, 0.627, 0.626)
Ni (0.877, 0.627, 0.124)
Ni (0.877, 0.627, 0.876)